[1]
A crystal of TlTc4As relaxed with PBEsol. Source: Alexandria, functional SCAN.

Computed properties:
The mass density comes out at 11.37 g/cm3. For the energy of formation from the pure elements, the calculation gives 0.639 eV/atom.

Cell and atoms, written as CIF:
```
data_TlTc4As
_chemical_formula_sum 'Tl1 Tc4 As1'
_symmetry_space_group_name_H-M 'P 1'
_symmetry_Int_Tables_number 1
_symmetry_space_group_name_Hall 'P 1'
_cell_length_a 5.1756
_cell_length_b 5.1756
_cell_length_c 5.1756
_cell_angle_alpha 60.00
_cell_angle_beta 60.00
_cell_angle_gamma 60.00
loop_
_atom_site_label
_atom_site_fract_x
_atom_site_fract_y
_atom_site_fract_z
As1 0.0000 0.0000 0.0000
Tc1 0.8776 0.3741 0.3741
Tl1 0.7500 0.7500 0.7500
Tc2 0.3741 0.3741 0.8776
Tc3 0.3741 0.3741 0.3741
Tc4 0.3741 0.8776 0.3741
```

=====

[2]
A crystal of CuTcCl2 relaxed with PBEsol. Source: Alexandria, functional SCAN.

Computed properties:
The mass density comes out at 6.90 g/cm3. The formation energy without anion corrections comes out at 0.664 eV/atom. The distance to the lowest polymorph of the same formula comes out at 0.736 eV per atom.

Cell and atoms, written as CIF:
```
data_CuTcCl2
_chemical_formula_sum 'Cu1 Tc1 Cl2'
_symmetry_space_group_name_H-M 'P 1'
_symmetry_Int_Tables_number 1
_symmetry_space_group_name_Hall 'P 1'
_cell_length_a 4.2922
_cell_length_b 4.2929
_cell_length_c 4.2922
_cell_angle_alpha 60.01
_cell_angle_beta 90.00
_cell_angle_gamma 119.99
loop_
_atom_site_label
_atom_site_fract_x
_atom_site_fract_y
_atom_site_fract_z
Cu1 0.5000 0.0000 0.5000
Cl1 0.2500 0.5000 0.2500
Tc1 0.0000 0.0000 0.0000
Cl2 0.7500 0.5000 0.7500
```

=====

[3]
A crystal of TaCuPt relaxed with PBEsol. Source: Alexandria, functional SCAN.

Computed properties:
The mass density comes out at 16.52 g/cm3. For the energy of formation from the pure elements, the calculation gives -0.463 eV/atom. The distance to the lowest polymorph of the same formula comes out at 0.040 eV per atom.

Cell and atoms, written as CIF:
```
data_TaCuPt
_chemical_formula_sum 'Ta1 Cu1 Pt1'
_symmetry_space_group_name_H-M 'P 1'
_symmetry_Int_Tables_number 1
_symmetry_space_group_name_Hall 'P 1'
_cell_length_a 3.2767
_cell_length_b 3.2767
_cell_length_c 4.7229
_cell_angle_alpha 110.29
_cell_angle_beta 110.29
_cell_angle_gamma 90.00
loop_
_atom_site_label
_atom_site_fract_x
_atom_site_fract_y
_atom_site_fract_z
Pt1 0.6631 0.6631 0.3263
Cu1 0.0028 0.0028 0.0054
Ta1 0.3340 0.3340 0.6683
```

=====

[4]
A crystal of Sc2MnNiBi relaxed with PBEsol. Source: Alexandria, functional SCAN.

Computed properties:
The mass density comes out at 4.93 g/cm3. For the energy of formation from the pure elements, the calculation gives 0.928 eV/atom.

Cell and atoms, written as CIF:
```
data_Sc2MnNiBi
_chemical_formula_sum 'Sc2 Mn1 Ni1 Bi1'
_symmetry_space_group_name_H-M 'P 1'
_symmetry_Int_Tables_number 1
_symmetry_space_group_name_Hall 'P 1'
_cell_length_a 4.8482
_cell_length_b 5.3561
_cell_length_c 5.3561
_cell_angle_alpha 90.00
_cell_angle_beta 90.00
_cell_angle_gamma 90.00
loop_
_atom_site_label
_atom_site_fract_x
_atom_site_fract_y
_atom_site_fract_z
Sc1 0.0000 0.0000 0.5000
Ni1 0.5000 0.5000 0.5000
Bi1 0.0000 0.0000 0.0000
Sc2 0.0000 0.5000 0.0000
Mn1 0.5000 0.0000 0.0000
```

=====

[5]
A crystal of YMn2Cu2 relaxed with PBEsol. Source: Alexandria, functional SCAN.

Computed properties:
The mass density comes out at 7.58 g/cm3. For the energy of formation from the pure elements, the calculation gives 0.312 eV/atom.

Cell and atoms, written as CIF:
```
data_YMn2Cu2
_chemical_formula_sum 'Y1 Mn2 Cu2'
_symmetry_space_group_name_H-M 'P 1'
_symmetry_Int_Tables_number 1
_symmetry_space_group_name_Hall 'P 1'
_cell_length_a 3.4449
_cell_length_b 3.4449
_cell_length_c 6.4892
_cell_angle_alpha 105.39
_cell_angle_beta 105.39
_cell_angle_gamma 90.00
loop_
_atom_site_label
_atom_site_fract_x
_atom_site_fract_y
_atom_site_fract_z
Mn1 0.2500 0.7500 0.5000
Mn2 0.7500 0.2500 0.5000
Y1 0.0000 0.0000 0.0000
Cu1 0.3955 0.3955 0.7911
Cu2 0.6045 0.6045 0.2089
```

=====

[6]
A crystal of PuMg3 relaxed with PBEsol. Source: Alexandria, functional SCAN.

Computed properties:
The mass density comes out at 5.55 g/cm3. For the energy of formation from the pure elements, the calculation gives 0.302 eV/atom.

Cell and atoms, written as CIF:
```
data_PuMg3
_chemical_formula_sum 'Pu1 Mg3'
_symmetry_space_group_name_H-M 'P 1'
_symmetry_Int_Tables_number 1
_symmetry_space_group_name_Hall 'P 1'
_cell_length_a 5.1184
_cell_length_b 5.1184
_cell_length_c 5.1184
_cell_angle_alpha 60.00
_cell_angle_beta 60.00
_cell_angle_gamma 60.00
loop_
_atom_site_label
_atom_site_fract_x
_atom_site_fract_y
_atom_site_fract_z
Mg1 0.2500 0.2500 0.2500
Mg2 0.5000 0.5000 0.5000
Mg3 0.7500 0.7500 0.7500
Pu1 0.0000 0.0000 0.0000
```

=====

[7]
A crystal of ZrBeHg relaxed with PBEsol. Source: Alexandria, functional SCAN.

Computed properties:
The mass density comes out at 9.93 g/cm3. For the energy of formation from the pure elements, the calculation gives -0.303 eV/atom.

Cell and atoms, written as CIF:
```
data_ZrBeHg
_chemical_formula_sum 'Zr2 Be2 Hg2'
_symmetry_space_group_name_H-M 'P 1'
_symmetry_Int_Tables_number 1
_symmetry_space_group_name_Hall 'P 1'
_cell_length_a 3.5921
_cell_length_b 3.6861
_cell_length_c 7.8168
_cell_angle_alpha 76.36
_cell_angle_beta 90.00
_cell_angle_gamma 90.00
loop_
_atom_site_label
_atom_site_fract_x
_atom_site_fract_y
_atom_site_fract_z
Hg1 0.2500 0.8009 0.3981
Be1 0.2500 0.9641 0.0718
Be2 0.7500 0.0359 0.9282
Zr1 0.2500 0.5871 0.8259
Zr2 0.7500 0.4129 0.1741
Hg2 0.7500 0.1991 0.6019
```

=====

[8]
A crystal of TlCN2O relaxed with PBEsol. Source: Alexandria, functional SCAN.

Computed properties:
The mass density comes out at 5.45 g/cm3. The formation energy without anion corrections comes out at 3.037 eV/atom.

Cell and atoms, written as CIF:
```
data_TlCN2O
_chemical_formula_sum 'Tl1 C1 N2 O1'
_symmetry_space_group_name_H-M 'P 1'
_symmetry_Int_Tables_number 1
_symmetry_space_group_name_Hall 'P 1'
_cell_length_a 4.2045
_cell_length_b 4.3431
_cell_length_c 4.3431
_cell_angle_alpha 90.00
_cell_angle_beta 90.00
_cell_angle_gamma 90.00
loop_
_atom_site_label
_atom_site_fract_x
_atom_site_fract_y
_atom_site_fract_z
N1 0.0000 0.0000 0.5000
N2 0.0000 0.5000 0.0000
C1 0.5000 0.5000 0.5000
O1 0.5000 0.0000 0.0000
Tl1 0.0000 0.0000 0.0000
```

=====

[9]
A crystal of Te2PtRh relaxed with PBEsol. Source: Alexandria, functional SCAN.

Computed properties:
The mass density comes out at 12.15 g/cm3. The formation energy without anion corrections comes out at 0.191 eV/atom. The distance to the lowest polymorph of the same formula comes out at 0.565 eV per atom.

Cell and atoms, written as CIF:
```
data_Te2PtRh
_chemical_formula_sum 'Te2 Pt1 Rh1'
_symmetry_space_group_name_H-M 'P 1'
_symmetry_Int_Tables_number 1
_symmetry_space_group_name_Hall 'P 1'
_cell_length_a 4.0034
_cell_length_b 4.0034
_cell_length_c 5.5021
_cell_angle_alpha 111.33
_cell_angle_beta 111.33
_cell_angle_gamma 90.00
loop_
_atom_site_label
_atom_site_fract_x
_atom_site_fract_y
_atom_site_fract_z
Te1 0.7500 0.2500 0.5000
Rh1 0.2500 0.7500 0.5000
Pt1 0.5000 0.5000 0.0000
Te2 0.0000 0.0000 0.0000
```

=====

[10]
A crystal of KHgBr relaxed with PBEsol. Source: Alexandria, functional SCAN.

Computed properties:
The mass density comes out at 3.81 g/cm3. The formation energy without anion corrections comes out at -1.104 eV/atom.

Cell and atoms, written as CIF:
```
data_KHgBr
_chemical_formula_sum 'K1 Hg1 Br1'
_symmetry_space_group_name_H-M 'P 1'
_symmetry_Int_Tables_number 1
_symmetry_space_group_name_Hall 'P 1'
_cell_length_a 4.4572
_cell_length_b 4.4572
_cell_length_c 7.6828
_cell_angle_alpha 106.86
_cell_angle_beta 106.86
_cell_angle_gamma 90.00
loop_
_atom_site_label
_atom_site_fract_x
_atom_site_fract_y
_atom_site_fract_z
K1 0.5772 0.5772 0.1544
Hg1 0.3274 0.3274 0.6548
Br1 0.0954 0.0954 0.1908
```

=====

[11]
A crystal of ReTeW relaxed with PBEsol. Source: Alexandria, functional SCAN.

Computed properties:
The mass density comes out at 16.23 g/cm3. The formation energy without anion corrections comes out at 0.849 eV/atom. The distance to the lowest polymorph of the same formula comes out at 0.325 eV per atom.

Cell and atoms, written as CIF:
```
data_ReTeW
_chemical_formula_sum 'Re1 Te1 W1'
_symmetry_space_group_name_H-M 'P 1'
_symmetry_Int_Tables_number 1
_symmetry_space_group_name_Hall 'P 1'
_cell_length_a 3.0487
_cell_length_b 4.1761
_cell_length_c 4.7627
_cell_angle_alpha 116.00
_cell_angle_beta 108.67
_cell_angle_gamma 90.00
loop_
_atom_site_label
_atom_site_fract_x
_atom_site_fract_y
_atom_site_fract_z
W1 0.3376 0.3376 0.6752
Te1 0.6671 0.6671 0.3342
Re1 0.9953 0.9953 0.9906
```

=====

[12]
A crystal of Zr5Sc4 relaxed with PBEsol. Source: Alexandria, functional SCAN.

Computed properties:
The mass density comes out at 5.22 g/cm3. For the energy of formation from the pure elements, the calculation gives 0.044 eV/atom. The distance to the lowest polymorph of the same formula comes out at 0.014 eV per atom.

Cell and atoms, written as CIF:
```
data_Zr5Sc4
_chemical_formula_sum 'Zr5 Sc4'
_symmetry_space_group_name_H-M 'P 1'
_symmetry_Int_Tables_number 1
_symmetry_space_group_name_Hall 'P 1'
_cell_length_a 4.4578
_cell_length_b 7.0981
_cell_length_c 7.0981
_cell_angle_alpha 84.34
_cell_angle_beta 71.70
_cell_angle_gamma 71.70
loop_
_atom_site_label
_atom_site_fract_x
_atom_site_fract_y
_atom_site_fract_z
Sc1 0.6738 0.3262 0.3262
Zr1 0.6649 0.0000 0.6701
Sc2 0.3262 0.6738 0.6738
Zr2 0.3351 0.3299 0.0000
Zr3 0.6649 0.6701 0.0000
Zr4 0.3351 0.0000 0.3299
Zr5 0.0000 0.0000 0.0000
Sc3 0.0000 0.3262 0.6738
Sc4 0.0000 0.6738 0.3262
```

=====

[13]
A crystal of Li3YSb2 relaxed with PBEsol. Source: Alexandria, functional SCAN.

Computed properties:
The mass density comes out at 4.75 g/cm3. The formation energy without anion corrections comes out at -0.904 eV/atom.

Cell and atoms, written as CIF:
```
data_Li3YSb2
_chemical_formula_sum 'Li3 Y1 Sb2'
_symmetry_space_group_name_H-M 'P 1'
_symmetry_Int_Tables_number 1
_symmetry_space_group_name_Hall 'P 1'
_cell_length_a 4.4958
_cell_length_b 4.4958
_cell_length_c 7.0498
_cell_angle_alpha 90.00
_cell_angle_beta 90.00
_cell_angle_gamma 120.00
loop_
_atom_site_label
_atom_site_fract_x
_atom_site_fract_y
_atom_site_fract_z
Li1 0.0000 0.0000 0.5000
Sb1 0.6667 0.3333 0.7522
Li2 0.3333 0.6667 0.6515
Y1 0.0000 0.0000 0.0000
Sb2 0.3333 0.6667 0.2478
Li3 0.6667 0.3333 0.3485
```